# 1
## V4PdS8 (PBE)

Data for a relaxed structure of V4PdS8.

```
13
Lattice="0.0000 4.8723 4.8723 4.8723 0.0000 4.8723 4.8723 4.8723 0.0000" Properties=species:S:1:pos:R:3 pbc="T T T"
V 1.0862 1.0862 1.0862
V 3.7861 3.7861 1.0862
V 3.7861 1.0862 3.7861
V 1.0862 3.7861 3.7861
Pd 4.8723 4.8723 4.8723
S 3.5237 3.5237 3.5237
S 6.2209 6.2209 3.5237
S 6.2209 3.5237 6.2209
S 8.5100 6.1068 6.1068
S 6.1068 8.5100 6.1068
S 6.1068 6.1068 8.5100
S 8.5100 8.5100 8.5100
S 3.5237 6.2209 6.2209
```

As for the electronic total energy: -6.51 eV per atom. The calculation puts the uncorrected formation energy at -0.7661 eV/atom. Its density of states at the Fermi level is 9.464 states/eV per cell.

***

# 2
## Rb2YPdI6 (PBE)

Data for a relaxed structure of Rb2YPdI6.

```
10
Lattice="-4.2219 4.2219 5.9266 4.2219 -4.2219 5.9266 4.2219 4.2219 -5.9266" Properties=species:S:1:pos:R:3 pbc="T T T"
Rb 4.2219 0.0000 2.9633
Rb 0.0000 4.2219 2.9633
Y 0.0000 0.0000 0.0000
Pd 0.0000 0.0000 5.9266
I 2.1421 2.1421 0.0000
I 2.0798 -2.0798 5.9266
I 0.0000 0.0000 3.0305
I 0.0000 0.0000 8.8226
I -2.0798 2.0798 5.9266
I 2.0798 2.0798 5.9266
```

As for the electronic total energy: -3.36 eV per atom. The calculation puts the uncorrected formation energy at -1.0753 eV/atom. Its density of states at the Fermi level is 4.357 states/eV per cell.

***

# 3
## Cs2MgF (PBE)

Data for a relaxed structure of Cs2MgF.

```
8
Lattice="5.5655 0.0000 0.0000 2.4844 8.1998 0.0000 0.1905 -0.0337 8.5717" Properties=species:S:1:pos:R:3 pbc="T T T"
Cs 0.0000 0.0000 0.0000
Cs 3.0077 5.9865 3.8975
Cs 2.8611 1.1618 5.3531
Cs 5.2853 4.5591 7.4097
Mg 2.9033 2.6212 1.3625
Mg 5.7211 3.0858 2.8857
F 4.0625 6.9584 6.3972
F 3.6027 2.0323 8.1276
```

As for the electronic total energy: -2.46 eV per atom. The calculation puts the uncorrected formation energy at -1.1682 eV/atom. For the energy above the most stable polymorph in this dataset, the calculation gives 0.035 eV/atom. Its density of states at the Fermi level is 4.713 states/eV per cell.

***

# 4
## Ho3InNi2 (PBE)

Data for a relaxed structure of Ho3InNi2.

```
6
Lattice="3.4266 0.0000 0.0000 0.0000 3.4266 0.0000 0.0000 0.0000 10.9413" Properties=species:S:1:pos:R:3 pbc="T T T"
Ho 0.0000 0.0000 0.0000
Ho 0.0000 0.0000 3.2892
Ho 0.0000 0.0000 7.6521
In 1.7133 1.7133 5.4707
Ni 1.7133 1.7133 1.6942
Ni 1.7133 1.7133 9.2471
```

As for the electronic total energy: -5.10 eV per atom. Its density of states at the Fermi level is 4.352 states/eV per cell. As for the formation energy from the elements: -431 meV/atom.